(one)
This record from the Alexandria database describes crystalline Li8TlAu2 at its relaxed geometry. The functional is PBE-GGA.

It has space group C2/m (No. 12), with a = 8.181 Å, b = 11.062 Å, c = 4.443 Å, α = 90.00°, β = 90.62° and γ = 90.00°. The distinct sites, in fractional coordinates, are Li at (0.000, 0.245, 0.000), Li at (0.160, 0.000, 0.996), Li at (0.171, 0.362, 0.503), Tl at (0.000, 0.500, 0.000) and Au at (0.000, 0.126, 0.500).

For the density of states at the Fermi level, the calculation gives 0.253 states/eV per atom. The value obtained for the calculated volume is 18.3 Å³/atom.

---

(two)
This record from the Alexandria database describes crystalline Li8TlAu2 at its relaxed geometry. The functional is PBE-GGA.

It has space group Immm (No. 71), with a = 4.422 Å, b = 7.179 Å, c = 12.142 Å, α = 90.00°, β = 90.00° and γ = 90.00°. The distinct sites, in fractional coordinates, are Li at (0.000, 0.000, 0.151), Li at (0.000, 0.206, 0.344), Li at (0.000, 0.313, 0.000), Tl at (0.000, 0.500, 0.500) and Au at (0.000, 0.500, 0.202).

For the density of states at the Fermi level, the calculation gives 0.530 states/eV per atom. The value obtained for the calculated volume is 17.5 Å³/atom.

---

Most favorable structure: (two). The second most favorable one is 1.6 kJ/mol of atoms above it.

---

(one)
This record from the Alexandria database describes crystalline LiTm2Au6 at its relaxed geometry. The functional is PBE-GGA.

It has space group Cmmm (No. 65), with a = 7.412 Å, b = 13.972 Å, c = 3.584 Å, α = 90.00°, β = 90.00° and γ = 90.00°. The distinct sites, in fractional coordinates, are Li at (0.000, 0.000, 0.000), Tm at (0.000, 0.300, 0.500), Au at (0.196, 0.152, 0.000) and Au at (0.198, 0.500, 0.500).

For the density of states at the Fermi level, the calculation gives 0.427 states/eV per atom. The value obtained for the calculated volume is 20.6 Å³/atom.

---

(two)
This record from the Alexandria database describes crystalline LiTm2Au6 at its relaxed geometry. The functional is PBE-GGA.

It has space group C2/c (No. 15), with a = 13.518 Å, b = 10.270 Å, c = 5.186 Å, α = 90.00°, β = 100.14° and γ = 90.00°. The distinct sites, in fractional coordinates, are Li at (0.000, 0.122, 0.250), Tm at (0.164, 0.375, 0.076), Au at (0.058, 0.358, 0.519), Au at (0.107, 0.119, 0.828) and Au at (0.219, 0.122, 0.367).

For the density of states at the Fermi level, the calculation gives 0.401 states/eV per atom. The value obtained for the calculated volume is 19.7 Å³/atom.

---

Most favorable structure: (two). The second most favorable one is 3.9 kJ/mol of atoms above it.

---

(one)
This record from the Alexandria database describes crystalline LiTmAu2 at its relaxed geometry. The functional is PBE-GGA.

It has space group P4/mmm (No. 123), with a = 4.721 Å, b = 4.721 Å, c = 3.569 Å, α = 90.00°, β = 90.00° and γ = 90.00°. The distinct sites, in fractional coordinates, are Li at (0.000, 0.000, 0.000), Tm at (0.500, 0.500, 0.000) and Au at (0.000, 0.500, 0.500).

For the density of states at the Fermi level, the calculation gives 0.532 states/eV per atom. The value obtained for the calculated volume is 19.9 Å³/atom.

---

(two)
This record from the Alexandria database describes crystalline LiTmAu2 at its relaxed geometry. The functional is PBE-GGA.

It has space group P4/mmm (No. 123), with a = 3.499 Å, b = 3.499 Å, c = 6.304 Å, α = 90.00°, β = 90.00° and γ = 90.00°. The distinct sites, in fractional coordinates, are Li at (0.000, 0.000, 0.000), Tm at (0.000, 0.000, 0.500) and Au at (0.500, 0.500, 0.228).

For the density of states at the Fermi level, the calculation gives 0.362 states/eV per atom. The value obtained for the calculated volume is 19.3 Å³/atom.

---

Most favorable structure: (two). The second most favorable one is 4.2 kJ/mol of atoms above it.

---

(one)
This record from the Alexandria database describes crystalline Li2TmAu2 at its relaxed geometry. The functional is PBE-GGA.

It has space group C2/c (No. 15), with a = 9.221 Å, b = 6.379 Å, c = 7.372 Å, α = 90.00°, β = 114.64° and γ = 90.00°. The distinct sites, in fractional coordinates, are Li at (0.124, 0.089, 0.448), Tm at (0.000, 0.421, 0.750) and Au at (0.187, 0.274, 0.157).

For the density of states at the Fermi level, the calculation gives 0.422 states/eV per atom. The value obtained for the calculated volume is 19.7 Å³/atom.

---

(two)
This record from the Alexandria database describes crystalline Li2TmAu2 at its relaxed geometry. The functional is PBE-GGA.

It has space group C2/m (No. 12), with a = 5.348 Å, b = 5.348 Å, c = 7.217 Å, α = 90.00°, β = 111.62° and γ = 90.00°. The distinct sites, in fractional coordinates, are Li at (0.000, 0.250, 0.000), Tm at (0.000, 0.000, 0.500) and Au at (0.107, 0.500, 0.714).

For the density of states at the Fermi level, the calculation gives 0.466 states/eV per atom. The value obtained for the calculated volume is 19.2 Å³/atom.

---

Most favorable structure: (two). The second most favorable one is 1.0 kJ/mol of atoms above it.

---

(one)
This record from the Alexandria database describes crystalline LiTm2Au at its relaxed geometry. The functional is PBE-GGA.

It has space group Fm-3m (No. 225), with a = 7.109 Å, b = 7.109 Å, c = 7.109 Å, α = 90.00°, β = 90.00° and γ = 90.00°. The distinct sites, in fractional coordinates, are Li at (0.000, 0.000, 0.000), Tm at (0.250, 0.250, 0.250) and Au at (0.000, 0.000, 0.500).

For the density of states at the Fermi level, the calculation gives 0.598 states/eV per atom. The value obtained for the calculated volume is 22.5 Å³/atom.

---

(two)
This record from the Alexandria database describes crystalline LiTm2Au at its relaxed geometry. The functional is PBE-GGA.

It has space group P4/mmm (No. 123), with a = 4.977 Å, b = 4.977 Å, c = 3.628 Å, α = 90.00°, β = 90.00° and γ = 90.00°. The distinct sites, in fractional coordinates, are Li at (0.000, 0.000, 0.000), Tm at (0.000, 0.500, 0.500) and Au at (0.500, 0.500, 0.000).

For the density of states at the Fermi level, the calculation gives 0.875 states/eV per atom. The value obtained for the calculated volume is 22.5 Å³/atom.

---

Most favorable structure: (two). The second most favorable one is 0.5 kJ/mol of atoms above it.

---

(one)
This record from the Alexandria database describes crystalline LiTm2Au2 at its relaxed geometry. The functional is PBE-GGA.

It has space group Ibam (No. 72), with a = 7.618 Å, b = 11.148 Å, c = 5.583 Å, α = 90.00°, β = 90.00° and γ = 90.00°. The distinct sites, in fractional coordinates, are Li at (0.000, 0.000, 0.250), Tm at (0.154, 0.332, 0.000) and Au at (0.214, 0.407, 0.500).

For the density of states at the Fermi level, the calculation gives 0.629 states/eV per atom. The value obtained for the calculated volume is 23.7 Å³/atom.

---

(two)
This record from the Alexandria database describes crystalline LiTm2Au2 at its relaxed geometry. The functional is PBE-GGA.

It has space group P4/mbm (No. 127), with a = 7.926 Å, b = 7.926 Å, c = 3.660 Å, α = 90.00°, β = 90.00° and γ = 90.00°. The distinct sites, in fractional coordinates, are Li at (0.000, 0.000, 0.000), Tm at (0.160, 0.340, 0.500) and Au at (0.139, 0.639, 0.000).

For the density of states at the Fermi level, the calculation gives 0.645 states/eV per atom. The value obtained for the calculated volume is 23.0 Å³/atom.

---

Most favorable structure: (two). The second most favorable one is 7.7 kJ/mol of atoms above it.

---

(one)
This record from the Alexandria database describes crystalline LiTmAu4 at its relaxed geometry. The functional is PBE-GGA.

It has space group F-43m (No. 216), with a = 7.824 Å, b = 7.824 Å, c = 7.824 Å, α = 90.00°, β = 90.00° and γ = 90.00°. The distinct sites, in fractional coordinates, are Li at (0.000, 0.000, 0.000), Tm at (0.250, 0.250, 0.750) and Au at (0.125, 0.125, 0.375).

For the density of states at the Fermi level, the calculation gives 0.932 states/eV per atom. The value obtained for the calculated volume is 20.0 Å³/atom.

---

(two)
This record from the Alexandria database describes crystalline LiTmAu4 at its relaxed geometry. The functional is PBE-GGA.

It has space group Cmmm (No. 65), with a = 5.530 Å, b = 6.416 Å, c = 7.176 Å, α = 90.00°, β = 90.00° and γ = 90.00°. The distinct sites, in fractional coordinates, are Li at (0.000, 0.000, 0.000), Tm at (0.000, 0.500, 0.500) and Au at (0.250, 0.250, 0.220).

For the density of states at the Fermi level, the calculation gives 0.302 states/eV per atom. The value obtained for the calculated volume is 21.2 Å³/atom.

---

Most favorable structure: (two). The second most favorable one is 2.0 kJ/mol of atoms above it.

---

(one)
This record from the Alexandria database describes crystalline Li2VAu at its relaxed geometry. The functional is PBE-GGA.

It has space group Fm-3m (No. 225), with a = 6.236 Å, b = 6.236 Å, c = 6.236 Å, α = 90.00°, β = 90.00° and γ = 90.00°. The distinct sites, in fractional coordinates, are Li at (0.250, 0.250, 0.250), V at (0.000, 0.000, 0.000) and Au at (0.000, 0.000, 0.500).

For the density of states at the Fermi level, the calculation gives 1.207 states/eV per atom. The value obtained for the calculated volume is 15.2 Å³/atom.

---

(two)
This record from the Alexandria database describes crystalline Li2VAu at its relaxed geometry. The functional is PBE-GGA.

It has space group I-42d (No. 122), with a = 7.206 Å, b = 7.206 Å, c = 5.370 Å, α = 90.00°, β = 90.00° and γ = 90.00°. The distinct sites, in fractional coordinates, are Li at (0.224, 0.250, 0.125), V at (0.000, 0.000, 0.500) and Au at (0.000, 0.000, 0.000).

For the density of states at the Fermi level, the calculation gives 1.207 states/eV per atom. The value obtained for the calculated volume is 17.4 Å³/atom.

---

(three)
This record from the Alexandria database describes crystalline Li2VAu at its relaxed geometry. The functional is PBE-GGA.

It has space group R-3m (No. 166, hexagonal axes), with a = 2.7291 Å, b = 2.7291 Å, c = 29.5602 Å, α = 90.00°, β = 90.00° and γ = 120.00°. The distinct sites, in fractional coordinates, are Li at (0.0000, 0.0000, 0.0884), V at (0.0000, 0.0000, 0.0000) and Au at (0.0000, 0.0000, 0.5000).

For the density of states at the Fermi level, the calculation gives 0.658 states/eV per atom. The value obtained for the calculated volume is 15.9 Å³/atom.

---

Most favorable structure: (one). The second most favorable one is 4.8 kJ/mol of atoms above it.